1.
Entry from OQMD: Dy2HoNi9 after structural relaxation (PBE-GGA).

Structure (POSCAR):
```
Dy2HoNi9
1.0
2.468 1.425 8.094
-2.468 1.425 8.094
0.000 -2.850 8.094
Ho Ni Dy
1 9 2
Cartesian
0.000 0.000 0.000 Ho
1.235 0.713 14.196 Ni
-1.235 0.713 14.196 Ni
1.235 -0.713 10.086 Ni
0.000 0.000 12.141 Ni
0.000 0.000 16.198 Ni
0.000 -1.427 14.196 Ni
-1.235 -0.713 10.086 Ni
0.000 0.000 8.084 Ni
0.000 1.427 10.086 Ni
0.000 0.000 3.374 Dy
0.000 0.000 20.908 Dy
```

**Crystal system**: trigonal
**Electronic total energy**: -68.93 eV/cell
**Space group**: No. 166
**ΔH_f (0 K)**: -0.420 eV/atom
**Volume**: 14.233 A^3/atom

---

2.
Entry from OQMD: PrZr after structural relaxation (PBE-GGA).

Structure (POSCAR):
```
PrZr
1.0
6.143 0.000 0.000
0.000 13.764 0.000
0.000 0.000 5.507
Pr Zr
8 8
Cartesian
2.835 12.043 0.000 Pr
1.787 0.390 2.754 Pr
3.047 5.161 0.000 Pr
0.260 3.050 0.000 Pr
1.787 9.933 2.754 Pr
5.356 5.161 2.754 Pr
5.143 12.043 2.754 Pr
0.260 7.272 0.000 Pr
3.292 8.494 0.000 Zr
4.898 1.612 2.754 Zr
2.383 3.497 2.754 Zr
5.807 13.706 0.000 Zr
5.807 10.380 0.000 Zr
3.292 1.829 0.000 Zr
4.898 8.711 2.754 Zr
2.383 6.825 2.754 Zr
```

**Crystal system**: orthorhombic
**Electronic total energy**: -104.25 eV/cell
**Space group**: No. 59
**ΔH_f (0 K)**: 0.145 eV/atom
**Volume**: 29.101 A^3/atom

---

3.
Entry from OQMD: MgNpSb after structural relaxation (PBE-GGA).

Structure (POSCAR):
```
MgNpSb
1.0
0.000 3.533 3.533
3.533 0.000 3.533
3.533 3.533 0.000
Mg Np Sb
1 1 1
Cartesian
0.000 0.000 0.000 Mg
3.533 3.533 3.533 Np
5.300 5.300 5.300 Sb
```

**Crystal system**: cubic
**Electronic total energy**: -17.97 eV/cell
**Space group**: No. 216
**Volume**: 29.404 A^3/atom

---

4.
Entry from OQMD: LaDySbCl2 after structural relaxation (PBE-GGA).

Structure (POSCAR):
```
LaDySbCl2
1.0
-1.796 0.231 3.879
-1.476 -2.804 -2.878
6.901 -7.362 3.633
Sb Dy Cl La
1 1 2 1
Cartesian
5.133 -8.058 5.217 Sb
5.727 -6.110 3.015 Dy
3.193 -6.887 1.888 Cl
2.212 -2.360 1.164 Cl
-0.415 -3.038 -0.011 La
```

**Crystal system**: trigonal
**Electronic total energy**: -25.88 eV/cell
**Space group**: No. 156
**Volume**: 34.035 A^3/atom

---

5.
Entry from OQMD: Pu2Si4Mo3 after structural relaxation (PBE-GGA).

Structure (POSCAR):
```
Pu2Si4Mo3
1.0
-3.539 -5.887 0.333
3.405 -1.722 5.745
-3.314 4.845 3.417
Mo Si Pu
6 8 4
Cartesian
-1.724 -1.382 4.747 Mo
1.121 -1.712 5.735 Mo
-4.570 -1.052 3.759 Mo
-2.334 -3.767 3.027 Mo
-1.770 -2.944 0.166 Mo
-1.115 1.003 6.467 Mo
-3.400 0.629 5.252 Si
0.052 2.046 8.491 Si
-0.049 -3.394 4.242 Si
-2.547 -1.386 2.185 Si
-3.501 -4.810 1.003 Si
0.311 0.330 4.425 Si
-3.760 -3.094 5.070 Si
-0.902 -1.378 7.309 Si
-1.945 1.333 2.909 Pu
-1.504 -4.097 6.585 Pu
-3.748 -1.378 7.304 Pu
0.299 -1.386 2.190 Pu
```

**Crystal system**: monoclinic
**Electronic total energy**: -174.77 eV/cell
**Space group**: No. 14
**Volume**: 16.861 A^3/atom

---

6.
Entry from OQMD: AcTaCl after structural relaxation (PBE-GGA).

Structure (POSCAR):
```
AcTaCl
1.0
-4.510 1.956 -2.038
3.044 -3.254 -2.911
-5.410 -8.485 3.828
Ac Ta Cl
3 3 3
Cartesian
-0.683 -3.413 -1.764 Ac
-4.212 -8.948 0.732 Ac
-4.503 -3.718 -0.553 Ac
-3.001 -4.707 2.123 Ta
-0.452 -0.710 0.320 Ta
-1.758 -2.758 1.244 Ta
-2.321 -0.295 -2.097 Cl
-6.119 -6.253 0.591 Cl
-2.752 -6.657 -0.301 Cl
```

**Crystal system**: trigonal
**Electronic total energy**: -51.75 eV/cell
**Space group**: No. 156
**Volume**: 29.343 A^3/atom

---

7.
Entry from OQMD: YCuReTc after structural relaxation (PBE-GGA).

Structure (POSCAR):
```
YCuReTc
1.0
0.000 3.214 3.214
3.214 0.000 3.214
3.214 3.214 0.000
Y Cu Tc Re
1 1 1 1
Cartesian
0.000 0.000 0.000 Y
4.821 4.821 4.821 Cu
3.214 3.214 3.214 Tc
1.607 1.607 1.607 Re
```

**Crystal system**: cubic
**Electronic total energy**: -31.98 eV/cell
**Space group**: No. 216
**ΔH_f (0 K)**: 0.246 eV/atom
**Volume**: 16.604 A^3/atom

---

8.
Entry from OQMD: WI2Cl2 after structural relaxation (PBE-GGA).

Structure (POSCAR):
```
WI2Cl2
1.0
-6.743 -2.545 -2.098
-5.318 -2.996 4.370
2.995 9.161 -0.022
Cl I W
4 4 2
Cartesian
-7.223 3.227 1.816 Cl
-1.497 6.066 0.752 Cl
-1.844 0.393 0.434 Cl
-7.570 -2.446 1.498 Cl
-5.100 -0.243 2.850 I
-3.967 3.863 -0.601 I
-5.829 -0.012 -0.460 I
-3.237 3.632 2.710 I
-6.448 -2.639 -0.758 W
-5.613 -2.902 3.030 W
```

**Crystal system**: monoclinic
**Electronic total energy**: -43.35 eV/cell
**Space group**: No. 12
**Volume**: 31.994 A^3/atom